one) ## YHoBr3N (GGA-PBE)

Data for crystalline YHoBr3N at its relaxed geometry.

As for the total magnetic moment: 0.00 μB per atom. As for the volume: 342 Å³ per cell.

Cell and atoms, written as POSCAR:
```
YHoBr3N
1.0
-5.4250 -5.1194 5.9411
-2.2397 -7.2919 5.7227
6.5263 9.2590 3.0844
Br Ho N Y
6 2 2 2
direct
0.6702 0.6702 0.0103
0.0354 0.0354 0.2510
0.7882 0.7882 0.3815
0.2118 0.2118 0.6185
0.9646 0.9646 0.7490
0.3298 0.3298 0.9897
0.5725 0.5725 0.4616
0.4275 0.4275 0.5384
0.4260 0.4260 0.3477
0.5740 0.5740 0.6523
0.8644 0.8644 0.2152
0.1356 0.1356 0.7848
```

=====

two) ## YHoBr3N (GGA-PBE)

Data for crystalline YHoBr3N at its relaxed geometry.

As for the total magnetic moment: 0.00 μB per atom. As for the volume: 336 Å³ per cell.

Cell and atoms, written as POSCAR:
```
YHoBr3N
1.0
9.1776 -1.9270 0.0000
9.1776 1.9270 0.0000
-6.7385 0.0000 9.4860
Br Ho N Y
6 2 2 2
direct
0.6696 0.6696 0.0108
0.0358 0.0358 0.2466
0.7845 0.7845 0.3800
0.2155 0.2155 0.6200
0.9642 0.9642 0.7534
0.3304 0.3304 0.9892
0.8642 0.8642 0.2149
0.1358 0.1358 0.7851
0.4244 0.4244 0.3449
0.5756 0.5756 0.6551
0.5740 0.5740 0.4603
0.4260 0.4260 0.5397
```

=====

one) is favored, and the nearest alternative lies 9 meV/atom above it.

=====

one) ## LaNdI2BrN (GGA-PBE)

Data for crystalline LaNdI2BrN at its relaxed geometry.

As for the total magnetic moment: 0.00 μB per atom. As for the volume: 398 Å³ per cell.

Cell and atoms, written as POSCAR:
```
LaNdI2BrN
1.0
-9.5466 0.0610 1.2352
-8.1453 -0.2938 5.1220
6.2896 10.2605 -1.3308
Br I La N Nd
2 4 2 2 2
direct
0.7854 0.7854 0.3787
0.2146 0.2146 0.6213
0.6640 0.6640 0.0165
0.0467 0.0467 0.2319
0.9533 0.9533 0.7681
0.3360 0.3360 0.9835
0.5792 0.5792 0.4607
0.4208 0.4208 0.5393
0.4306 0.4306 0.3518
0.5694 0.5694 0.6482
0.8701 0.8701 0.2226
0.1299 0.1299 0.7774
```

=====

two) ## LaNdI2BrN (GGA-PBE)

Data for crystalline LaNdI2BrN at its relaxed geometry.

As for the total magnetic moment: 0.00 μB per atom. As for the volume: 403 Å³ per cell.

Cell and atoms, written as POSCAR:
```
LaNdI2BrN
1.0
-4.8208 2.8241 8.2376
-2.7433 -0.4910 9.5555
10.4881 5.0057 -3.9419
Br I La N Nd
2 4 2 2 2
direct
0.3272 0.3272 0.4966
0.6728 0.6728 0.5034
0.2307 0.2307 0.1356
0.9656 0.9656 0.2757
0.0344 0.0344 0.7243
0.7693 0.7693 0.8644
0.4252 0.4252 0.0405
0.5748 0.5748 0.9595
0.5728 0.5728 0.1505
0.4272 0.4272 0.8495
0.1363 0.1363 0.2856
0.8637 0.8637 0.7144
```

=====

three) ## LaNdI2BrN (GGA-PBE)

Data for crystalline LaNdI2BrN at its relaxed geometry.

As for the total magnetic moment: 0.00 μB per atom. As for the volume: 410 Å³ per cell.

Cell and atoms, written as POSCAR:
```
LaNdI2BrN
1.0
9.8160 -2.0695 0.0000
9.8160 2.0695 0.0000
-7.1167 0.0000 10.0873
Br I La N Nd
2 4 2 2 2
direct
0.6707 0.6707 0.0042
0.3293 0.3293 0.9958
0.0397 0.0397 0.2360
0.7753 0.7753 0.3737
0.2247 0.2247 0.6263
0.9603 0.9603 0.7640
0.8645 0.8645 0.2147
0.1355 0.1355 0.7853
0.4272 0.4272 0.3485
0.5728 0.5728 0.6515
0.5730 0.5730 0.4606
0.4270 0.4270 0.5394
```

=====

four) ## LaNdI2BrN (GGA-PBE)

Data for crystalline LaNdI2BrN at its relaxed geometry.

As for the total magnetic moment: 0.00 μB per atom. As for the volume: 401 Å³ per cell.

Cell and atoms, written as POSCAR:
```
LaNdI2BrN
1.0
-8.0634 -3.9076 -3.5577
-5.6709 -7.2412 -2.8898
0.8924 2.9815 11.6850
Br I La N Nd
2 4 2 2 2
direct
0.7909 0.7909 0.3881
0.2091 0.2091 0.6119
0.6619 0.6619 0.0188
0.0526 0.0526 0.2417
0.9474 0.9474 0.7583
0.3381 0.3381 0.9812
0.8710 0.8710 0.2221
0.1290 0.1290 0.7779
0.4310 0.4310 0.3509
0.5690 0.5690 0.6491
0.5776 0.5776 0.4613
0.4224 0.4224 0.5387
```

=====

four) is favored, and the nearest alternative lies 12 meV/atom above it.

=====

one) ## LaNdIBr2N (GGA-PBE)

Data for crystalline LaNdIBr2N at its relaxed geometry.

As for the total magnetic moment: 0.00 μB per atom. As for the volume: 380 Å³ per cell.

Cell and atoms, written as POSCAR:
```
LaNdIBr2N
1.0
-3.9270 8.7266 0.2190
-7.0773 6.3719 -0.9666
1.3452 -6.6922 9.7174
Br I La N Nd
4 2 2 2 2
direct
0.6708 0.6708 0.0102
0.7810 0.7810 0.3724
0.2190 0.2190 0.6276
0.3292 0.3292 0.9898
0.0421 0.0421 0.2221
0.9579 0.9579 0.7779
0.5794 0.5794 0.4598
0.4206 0.4206 0.5402
0.4282 0.4282 0.3479
0.5718 0.5718 0.6521
0.8650 0.8650 0.2129
0.1350 0.1350 0.7871
```

=====

two) ## LaNdIBr2N (GGA-PBE)

Data for crystalline LaNdIBr2N at its relaxed geometry.

As for the total magnetic moment: 0.00 μB per atom. As for the volume: 388 Å³ per cell.

Cell and atoms, written as POSCAR:
```
LaNdIBr2N
1.0
9.1781 -2.0690 0.0000
9.1781 2.0690 0.0000
-6.2735 0.0000 10.2142
Br I La N Nd
4 2 2 2 2
direct
0.2142 0.2142 0.1094
0.9530 0.9530 0.2426
0.0470 0.0470 0.7574
0.7858 0.7858 0.8906
0.3434 0.3434 0.4838
0.6566 0.6566 0.5162
0.1313 0.1313 0.2772
0.8687 0.8687 0.7228
0.5715 0.5715 0.1487
0.4285 0.4285 0.8513
0.4213 0.4213 0.0420
0.5787 0.5787 0.9580
```

=====

three) ## LaNdIBr2N (GGA-PBE)

Data for crystalline LaNdIBr2N at its relaxed geometry.

As for the total magnetic moment: 0.00 μB per atom. As for the volume: 384 Å³ per cell.

Cell and atoms, written as POSCAR:
```
LaNdIBr2N
1.0
-2.4335 -0.9531 9.2225
1.6100 -1.7341 9.2890
2.1309 10.6085 -4.9759
Br I La N Nd
4 2 2 2 2
direct
0.2135 0.2135 0.1182
0.3312 0.3312 0.4882
0.6688 0.6688 0.5118
0.7865 0.7865 0.8818
0.9513 0.9513 0.2672
0.0487 0.0487 0.7328
0.1340 0.1340 0.2871
0.8660 0.8660 0.7129
0.5716 0.5716 0.1532
0.4284 0.4284 0.8468
0.4223 0.4223 0.0393
0.5777 0.5777 0.9607
```

=====

four) ## LaNdIBr2N (GGA-PBE)

Data for crystalline LaNdIBr2N at its relaxed geometry.

As for the total magnetic moment: 0.00 μB per atom. As for the volume: 381 Å³ per cell.

Cell and atoms, written as POSCAR:
```
LaNdIBr2N
1.0
9.0797 -2.0692 0.0000
9.0797 2.0692 0.0000
-6.2245 0.0000 10.1314
Br I La N Nd
4 2 2 2 2
direct
0.2206 0.2206 0.1179
0.9580 0.9580 0.2542
0.0420 0.0420 0.7458
0.7794 0.7794 0.8821
0.3413 0.3413 0.4856
0.6587 0.6587 0.5144
0.4193 0.4193 0.0439
0.5807 0.5807 0.9561
0.5715 0.5715 0.1470
0.4285 0.4285 0.8530
0.1321 0.1321 0.2769
0.8679 0.8679 0.7231
```

=====

two) is favored, and the nearest alternative lies 9 meV/atom above it.

=====

one) ## LaSmIBr2N (GGA-PBE)

Data for crystalline LaSmIBr2N at its relaxed geometry.

As for the total magnetic moment: 0.00 μB per atom. As for the volume: 372 Å³ per cell.

Cell and atoms, written as POSCAR:
```
LaSmIBr2N
1.0
-7.4995 -5.0722 1.9156
-4.4991 -7.8537 1.9277
5.5543 6.0280 8.5174
Br I La N Sm
4 2 2 2 2
direct
0.0408 0.0408 0.2426
0.7782 0.7782 0.3805
0.2218 0.2218 0.6195
0.9592 0.9592 0.7574
0.6595 0.6595 0.0146
0.3405 0.3405 0.9854
0.5811 0.5811 0.4554
0.4189 0.4189 0.5446
0.4279 0.4279 0.3517
0.5721 0.5721 0.6483
0.8684 0.8684 0.2234
0.1316 0.1316 0.7766
```

=====

two) ## LaSmIBr2N (GGA-PBE)

Data for crystalline LaSmIBr2N at its relaxed geometry.

As for the total magnetic moment: 0.00 μB per atom. As for the volume: 378 Å³ per cell.

Cell and atoms, written as POSCAR:
```
LaSmIBr2N
1.0
-3.3288 -9.0728 0.0876
-0.5562 -9.1487 3.0653
-5.5099 9.1510 5.3638
Br I La N Sm
4 2 2 2 2
direct
0.6723 0.6723 0.0083
0.7810 0.7810 0.3675
0.2190 0.2190 0.6325
0.3277 0.3277 0.9917
0.0390 0.0390 0.2215
0.9610 0.9610 0.7785
0.5787 0.5787 0.4611
0.4213 0.4213 0.5389
0.4273 0.4273 0.3462
0.5727 0.5727 0.6538
0.8647 0.8647 0.2131
0.1353 0.1353 0.7869
```

=====

one) is favored, and the nearest alternative lies 9 meV/atom above it.

=====

one) ## LaSmIBr2N (GGA-PBE)

Data for crystalline LaSmIBr2N at its relaxed geometry.

As for the total magnetic moment: 0.00 μB per atom. As for the volume: 383 Å³ per cell.

Cell and atoms, written as POSCAR:
```
LaSmIBr2N
1.0
-1.4705 4.7993 8.2304
-4.0604 1.6463 8.5871
9.0462 -7.5994 -1.4905
Br I La N Sm
4 2 2 2 2
direct
0.2105 0.2105 0.1163
0.3307 0.3307 0.4866
0.6693 0.6693 0.5134
0.7895 0.7895 0.8837
0.9513 0.9513 0.2630
0.0488 0.0488 0.7370
0.1333 0.1333 0.2869
0.8667 0.8667 0.7131
0.5705 0.5705 0.1519
0.4295 0.4295 0.8481
0.4240 0.4240 0.0377
0.5760 0.5760 0.9623
```

=====

two) ## LaSmIBr2N (GGA-PBE)

Data for crystalline LaSmIBr2N at its relaxed geometry.

As for the total magnetic moment: 0.00 μB per atom. As for the volume: 378 Å³ per cell.

Cell and atoms, written as POSCAR:
```
LaSmIBr2N
1.0
0.9500 9.1705 -0.9628
-2.8585 8.4939 -2.3685
-3.0524 -4.6120 10.4896
Br I La N Sm
4 2 2 2 2
direct
0.0507 0.0507 0.2606
0.7862 0.7862 0.3935
0.2138 0.2138 0.6065
0.9493 0.9493 0.7394
0.6550 0.6550 0.0175
0.3450 0.3450 0.9825
0.8694 0.8694 0.2229
0.1306 0.1306 0.7771
0.4297 0.4297 0.3530
0.5703 0.5703 0.6470
0.5785 0.5785 0.4585
0.4215 0.4215 0.5415
```

=====

two) is favored, and the nearest alternative lies 8 meV/atom above it.

=====

one) ## MoIBr4 (GGA-PBE)

Data for crystalline MoIBr4 at its relaxed geometry.

As for the total magnetic moment: 0.17 μB per atom. As for the volume: 381 Å³ per cell.

Cell and atoms, written as POSCAR:
```
MoIBr4
1.0
6.5518 0.0000 0.0000
-3.1394 6.3785 0.0000
-0.2326 -3.4150 9.1277
Br I Mo
8 2 2
direct
0.7553 0.8155 0.0477
0.8808 0.3788 0.1413
0.3066 0.0000 0.2432
0.4480 0.5716 0.3295
0.5520 0.4284 0.6705
0.6934 0.0000 0.7568
0.1192 0.6212 0.8587
0.2447 0.1845 0.9523
0.9229 0.1933 0.4481
0.0771 0.8067 0.5519
0.1049 0.2110 0.2123
0.8951 0.7890 0.7877
```

=====

two) ## MoIBr4 (GGA-PBE)

Data for crystalline MoIBr4 at its relaxed geometry.

As for the total magnetic moment: 0.17 μB per atom. As for the volume: 384 Å³ per cell.

Cell and atoms, written as POSCAR:
```
MoIBr4
1.0
6.5688 0.0000 0.0000
-3.1495 6.3857 0.0000
-0.1184 -3.3873 9.1603
Br I Mo
8 2 2
direct
0.8882 0.3920 0.1555
0.3093 0.0118 0.2561
0.4523 0.5845 0.3417
0.9252 0.1870 0.4373
0.0748 0.8130 0.5627
0.5477 0.4155 0.6583
0.6907 0.9882 0.7439
0.1118 0.6080 0.8445
0.7357 0.8028 0.0483
0.2643 0.1972 0.9517
0.1128 0.2265 0.2268
0.8872 0.7735 0.7732
```

=====

one) is favored, and the nearest alternative lies 11 meV/atom above it.

=====

one) ## Nd2I2BrN (GGA-PBE)

Data for crystalline Nd2I2BrN at its relaxed geometry.

As for the total magnetic moment: 0.00 μB per atom. As for the volume: 394 Å³ per cell.

Cell and atoms, written as POSCAR:
```
Nd2I2BrN
1.0
9.4069 -2.0561 0.0000
9.4069 2.0561 0.0000
-6.6029 0.0000 10.1898
Br I N Nd
2 4 2 4
direct
0.2110 0.2110 0.1167
0.7890 0.7890 0.8833
0.9509 0.9509 0.2598
0.3369 0.3369 0.4838
0.6631 0.6631 0.5162
0.0491 0.0491 0.7402
0.5705 0.5705 0.1498
0.4295 0.4295 0.8502
0.4226 0.4226 0.0380
0.1302 0.1302 0.2771
0.8698 0.8698 0.7229
0.5774 0.5774 0.9620
```

=====

two) ## Nd2I2BrN (GGA-PBE)

Data for crystalline Nd2I2BrN at its relaxed geometry.

As for the total magnetic moment: 0.00 μB per atom. As for the volume: 398 Å³ per cell.

Cell and atoms, written as POSCAR:
```
Nd2I2BrN
1.0
-4.6563 8.0516 -3.4624
-6.9173 5.0209 -5.0437
-1.6093 -4.6523 11.2175
Br I N Nd
2 4 2 4
direct
0.3282 0.3282 0.4958
0.6718 0.6718 0.5042
0.2269 0.2269 0.1296
0.9627 0.9627 0.2688
0.0373 0.0373 0.7312
0.7731 0.7731 0.8704
0.5735 0.5735 0.1521
0.4265 0.4265 0.8479
0.4265 0.4265 0.0402
0.1362 0.1362 0.2851
0.8638 0.8638 0.7149
0.5735 0.5735 0.9598
```

=====

one) is favored, and the nearest alternative lies 13 meV/atom above it.